[1]
DFT (PBE) results for an optimized crystal structure of LiPuSb3.

Cell lengths 6.260, 6.067, 13.344 Å; angles 90.02, 90.02, 88.66 degrees
Positions (direct):
Pu: 0.755 0.992 0.317
Pu: 0.245 0.008 0.683
Pu: 0.756 0.492 0.683
Pu: 0.244 0.508 0.317
Sb: 0.500 0.750 0.503
Sb: 0.742 0.995 0.742
Sb: 0.259 0.506 0.742
Sb: 0.000 0.750 0.504
Sb: 0.000 0.250 0.496
Sb: 0.766 0.794 0.084
Sb: 0.234 0.206 0.916
Sb: 0.258 0.005 0.258
Sb: 0.761 0.297 0.916
Sb: 0.239 0.703 0.084
Sb: 0.741 0.494 0.258
Sb: 0.500 0.250 0.497
Li: 0.501 0.752 0.898
Li: 0.499 0.248 0.102
Li: 0.001 0.750 0.890
Li: 0.999 0.250 0.110

Properties
The calculation puts the formation energy (no corrections) at -43.84 kJ/mol of atoms. The space-group type is P-1. Its crystal system is triclinic. The value obtained for the total magnetization is 4.938 μB/f.u.

---

[2]
DFT (PBE) results for an optimized crystal structure of TaAgBiOs2.

Cell lengths 4.876, 4.781, 4.876 Å; angles 90.00, 90.00, 90.00 degrees
Positions (direct):
Os: 0.500 0.000 0.000
Os: 0.000 0.000 0.500
Ta: 0.000 0.500 0.000
Bi: 0.500 0.500 0.500
Ag: 0.000 0.000 0.000

Properties
For the formation energy, the calculation gives 2.33 eV/atom. The energy above the most stable polymorph in this dataset is 0.000 eV per atom. The space-group type is P4/mmm. Its crystal system is tetragonal. The value obtained for the total magnetization is 0.000 μB/f.u.

---

[3]
DFT (PBE) results for an optimized crystal structure of SnPtAu2.

Cell lengths 2.968, 2.968, 10.461 Å; angles 81.84, 81.84, 60.00 degrees
Positions (direct):
Pt: 0.500 0.500 0.500
Au: 0.092 0.092 0.725
Au: 0.908 0.908 0.275
Sn: 0.000 0.000 0.000

Properties
For the formation energy, the calculation gives 0.13 eV/atom. The space-group type is R-3m. Its crystal system is trigonal. The value obtained for the total magnetization is 0.000 μB/f.u.

---

[4]
DFT (PBE) results for an optimized crystal structure of TlIn7Sn4.

Cell lengths 6.164, 9.195, 7.142 Å; angles 73.72, 64.43, 70.42 degrees
Positions (direct):
Sn: 0.501 0.331 0.666
Sn: 0.745 0.672 0.839
Sn: 0.255 0.328 0.161
Sn: 0.499 0.669 0.334
In: 0.998 0.339 0.664
In: 0.002 0.661 0.336
In: 0.744 0.002 0.509
In: 0.255 0.656 0.833
In: 0.745 0.344 0.167
In: 0.256 0.998 0.491
In: 0.500 0.000 0.000
Tl: 0.000 0.000 0.000

Properties
For the formation energy, the calculation gives 0.06 eV/atom. The energy above the most stable polymorph in this dataset is 0.028 eV per atom. The space-group type is C2/m. Its crystal system is monoclinic. The value obtained for the total magnetization is 0.000 μB/f.u.

---

[5]
DFT (PBE) results for an optimized crystal structure of CsZrH3.

Cell lengths 4.716, 4.716, 4.716 Å; angles 90.00, 90.00, 90.00 degrees
Positions (direct):
H: 0.000 0.500 0.000
H: 0.500 0.000 0.000
H: 0.000 0.000 0.500
Zr: 0.500 0.500 0.500
Cs: 0.000 0.000 0.000

Properties
The energy above the most stable polymorph in this dataset is 1.526 eV per atom. The space-group type is Pm-3m. Its crystal system is cubic. The value obtained for the total magnetization is 0.000 μB/f.u.

---

[6]
DFT (PBE) results for an optimized crystal structure of Nd6Hg3N2.

Cell lengths 4.916, 4.916, 12.926 Å; angles 100.96, 100.96, 90.00 degrees
Positions (direct):
Hg: 0.000 0.000 0.000
Hg: 0.174 0.174 0.348
Hg: 0.826 0.826 0.652
Nd: 0.586 0.086 0.172
Nd: 0.414 0.914 0.828
Nd: 0.698 0.698 0.397
Nd: 0.086 0.586 0.172
Nd: 0.302 0.302 0.603
Nd: 0.914 0.414 0.828
N: 0.607 0.607 0.214
N: 0.393 0.393 0.786

Properties
The calculation puts the formation energy (no corrections) at -63.13 kJ/mol of atoms. The space-group type is I4/mmm. Its crystal system is tetragonal. The value obtained for the total magnetization is 0.000 μB/f.u.

---

Asked for density of states at the Fermi level across the records above, the calculation gives 45.1 7.3 3.4 6.0 10.8 13.3 states/eV per cell in order.